Entry a
VASP calculation (PBE) on a relaxed SrTc2Pt crystal.

Lattice parameters (Å, degrees): 2.832 4.405 6.525 90.00 90.00 90.00
Atoms (fractional coordinates):
1 Tc 0.000 0.000 0.082
2 Tc 0.000 0.000 0.418
3 Pt 0.500 0.500 0.250
4 Sr 0.500 0.500 0.750

Entry b
VASP calculation (PBE) on a relaxed SrTc2Pt crystal.

Lattice parameters (Å, degrees): 4.663 4.663 4.663 60.00 60.00 60.00
Site moments in Bohr magnetons follow the coordinates.
Atoms (fractional coordinates):
1 Pt 0.500 0.500 0.500  0.18
2 Tc 0.250 0.250 0.250  0.86
3 Tc 0.750 0.750 0.750  0.86
4 Sr 0.000 0.000 0.000  0.04

Which structure is most stable? entry a, by 392 meV/atom over the runner-up.

Entry a
VASP calculation (PBE) on a relaxed SrTc2Pt crystal.

Lattice parameters (Å, degrees): 5.581 5.581 5.581 145.75 124.76 66.62
Atoms (fractional coordinates):
1 Tc 0.950 0.950 0.000
2 Tc 0.764 0.264 0.500
3 Sr 0.249 0.749 0.500
4 Pt 0.537 0.537 0.000

Entry b
VASP calculation (PBE) on a relaxed SrTc2Pt crystal.

Lattice parameters (Å, degrees): 10.193 10.193 10.193 16.16 16.16 16.16
Atoms (fractional coordinates):
1 Tc 0.511 0.511 0.511
2 Tc 0.989 0.989 0.989
3 Pt 0.250 0.250 0.250
4 Sr 0.750 0.750 0.750

Which structure is most stable? entry a, by 325 meV/atom over the runner-up.

Entry a
VASP calculation (PBE) on a relaxed SrTcPt2 crystal.

Lattice parameters (Å, degrees): 9.972 9.972 9.972 16.85 16.85 16.85
Atoms (fractional coordinates):
1 Pt 0.002 0.002 0.002
2 Pt 0.257 0.257 0.257
3 Tc 0.740 0.740 0.740
4 Sr 0.501 0.501 0.501

Entry b
VASP calculation (PBE) on a relaxed SrTcPt2 crystal.

Lattice parameters (Å, degrees): 5.344 5.344 5.344 134.15 134.15 66.86
Site moments in Bohr magnetons follow the coordinates.
Atoms (fractional coordinates):
1 Sr 0.500 0.500 0.000  0.02
2 Tc 0.750 0.250 0.500  2.32
3 Pt 0.250 0.750 0.500  0.20
4 Pt 0.000 0.000 0.000  0.21

Which structure is most stable? entry b, by 203 meV/atom over the runner-up.

Entry a
VASP calculation (PBE) on a relaxed SrTcPt2 crystal.

Lattice parameters (Å, degrees): 4.941 4.941 5.771 81.86 81.86 34.15
Atoms (fractional coordinates):
1 Tc 0.263 0.263 0.158
2 Pt 0.740 0.740 0.784
3 Pt 0.999 0.999 0.039
4 Sr 0.498 0.498 0.519

Entry b
VASP calculation (PBE) on a relaxed SrTcPt2 crystal.

Lattice parameters (Å, degrees): 4.759 4.759 4.759 60.00 60.00 60.00
Site moments in Bohr magnetons follow the coordinates.
Atoms (fractional coordinates):
1 Sr 0.500 0.500 0.500  0.02
2 Pt 0.000 0.000 0.000  0.28
3 Pt 0.250 0.250 0.250  0.08
4 Tc 0.750 0.750 0.750  2.29

Which structure is most stable? entry a, by 332 meV/atom over the runner-up.

Entry a
VASP calculation (PBE) on a relaxed SrTc3Pt crystal.

Lattice parameters (Å, degrees): 4.659 4.659 4.659 90.00 90.00 90.00
Atoms (fractional coordinates):
1 Tc 0.000 0.000 0.500
2 Tc 0.000 0.500 0.000
3 Tc 0.500 0.000 0.000
4 Sr 0.000 0.000 0.000
5 Pt 0.500 0.500 0.500

Entry b
VASP calculation (PBE) on a relaxed SrTc3Pt crystal.

Lattice parameters (Å, degrees): 4.862 4.862 4.862 90.00 90.00 90.00
Site moments in Bohr magnetons follow the coordinates.
Atoms (fractional coordinates):
1 Tc 0.500 0.000 0.000  0.39
2 Tc 0.000 0.000 0.500  0.43
3 Tc 0.000 0.500 0.000  0.51
4 Pt 0.000 0.000 0.000  -0.01
5 Sr 0.500 0.500 0.500  -0.01

Which structure is most stable? entry b, by 1532 meV/atom over the runner-up.

Entry a
VASP calculation (PBE) on a relaxed SrTePt crystal.

Lattice parameters (Å, degrees): 5.546 5.546 5.546 134.26 134.26 66.68
Atoms (fractional coordinates):
1 Te 0.689 0.689 0.000
2 Sr 0.345 0.345 0.000
3 Pt 0.966 0.966 0.000

Entry b
VASP calculation (PBE) on a relaxed SrTePt crystal.

Lattice parameters (Å, degrees): 10.430 7.464 4.180 90.00 90.00 90.00
Atoms (fractional coordinates):
1 Sr 0.213 0.250 0.500
2 Sr 0.787 0.750 0.500
3 Sr 0.713 0.250 0.000
4 Sr 0.287 0.750 0.000
5 Pt 0.427 0.250 0.000
6 Pt 0.573 0.750 0.000
7 Pt 0.927 0.250 0.500
8 Pt 0.073 0.750 0.500
9 Te 0.000 0.500 0.000
10 Te 0.500 0.000 0.500
11 Te 0.000 0.000 0.000
12 Te 0.500 0.500 0.500

Entry c
VASP calculation (PBE) on a relaxed SrTePt crystal.

Lattice parameters (Å, degrees): 5.115 5.115 5.115 60.00 60.00 60.00
Atoms (fractional coordinates):
1 Sr 0.250 0.250 0.250
2 Pt 0.500 0.500 0.500
3 Te 0.000 0.000 0.000

Which structure is most stable? entry b, by 189 meV/atom over the runner-up.

Entry a
VASP calculation (PBE) on a relaxed SrTePt crystal.

Lattice parameters (Å, degrees): 6.196 5.913 4.007 74.55 66.89 38.56
Atoms (fractional coordinates):
1 Sr 0.333 0.333 0.667
2 Te 0.628 0.628 0.372
3 Pt 0.039 0.039 0.961

Entry b
VASP calculation (PBE) on a relaxed SrTePt crystal.

Lattice parameters (Å, degrees): 4.402 6.261 6.946 87.82 90.04 69.43
Atoms (fractional coordinates):
1 Te 0.086 0.980 0.906
2 Te 0.407 0.338 0.525
3 Sr 0.120 0.913 0.410
4 Sr 0.373 0.405 0.020
5 Pt 0.667 0.818 0.073
6 Pt 0.826 0.500 0.358

Which structure is most stable? entry b, by 445 meV/atom over the runner-up.

Entry a
VASP calculation (PBE) on a relaxed SrTe2Pt crystal.

Lattice parameters (Å, degrees): 4.417 4.417 7.849 90.00 90.00 122.67
Atoms (fractional coordinates):
1 Te 0.000 0.000 0.044
2 Te 0.000 0.000 0.456
3 Sr 0.500 0.500 0.750
4 Pt 0.500 0.500 0.250

Entry b
VASP calculation (PBE) on a relaxed SrTe2Pt crystal.

Lattice parameters (Å, degrees): 5.323 5.323 5.323 60.00 60.00 60.00
Atoms (fractional coordinates):
1 Te 0.000 0.000 0.000
2 Te 0.250 0.250 0.250
3 Pt 0.500 0.500 0.500
4 Sr 0.750 0.750 0.750

Which structure is most stable? entry a, by 304 meV/atom over the runner-up.

Entry a
VASP calculation (PBE) on a relaxed SrTePt3 crystal.

Lattice parameters (Å, degrees): 5.048 5.048 5.048 90.00 90.00 90.00
Atoms (fractional coordinates):
1 Pt 0.000 0.000 0.500
2 Pt 0.000 0.500 0.000
3 Pt 0.500 0.000 0.000
4 Te 0.000 0.000 0.000
5 Sr 0.500 0.500 0.500

Entry b
VASP calculation (PBE) on a relaxed SrTePt3 crystal.

Lattice parameters (Å, degrees): 5.204 5.204 5.204 90.00 90.00 90.00
Atoms (fractional coordinates):
1 Sr 0.000 0.000 0.000
2 Pt 0.500 0.000 0.000
3 Pt 0.000 0.000 0.500
4 Pt 0.000 0.500 0.000
5 Te 0.500 0.500 0.500

Which structure is most stable? entry a, by 1570 meV/atom over the runner-up.

Entry a
VASP calculation (PBE) on a relaxed SrTe3Pt crystal.

Lattice parameters (Å, degrees): 5.410 5.410 5.410 90.00 90.00 90.00
Atoms (fractional coordinates):
1 Sr 0.500 0.500 0.500
2 Te 0.000 0.500 0.000
3 Te 0.000 0.000 0.500
4 Te 0.500 0.000 0.000
5 Pt 0.000 0.000 0.000

Entry b
VASP calculation (PBE) on a relaxed SrTe3Pt crystal.

Lattice parameters (Å, degrees): 5.998 5.998 5.998 90.00 90.00 90.00
Atoms (fractional coordinates):
1 Te 0.000 0.000 0.500
2 Te 0.000 0.500 0.000
3 Te 0.500 0.000 0.000
4 Pt 0.500 0.500 0.500
5 Sr 0.000 0.000 0.000

Which structure is most stable? entry a, by 1453 meV/atom over the runner-up.

Entry a
VASP calculation (PBE) on a relaxed Sr2TePt2 crystal.

Lattice parameters (Å, degrees): 5.949 5.949 5.820 59.27 59.27 90.00
Atoms (fractional coordinates):
1 Sr 0.250 0.750 0.500
2 Sr 0.750 0.250 0.500
3 Pt 0.342 0.342 0.316
4 Pt 0.658 0.658 0.684
5 Te 0.000 0.000 0.000

Entry b
VASP calculation (PBE) on a relaxed Sr2TePt2 crystal.

Lattice parameters (Å, degrees): 7.757 7.757 4.321 90.00 90.00 90.00
Atoms (fractional coordinates):
1 Sr 0.323 0.177 0.500
2 Sr 0.177 0.677 0.500
3 Sr 0.677 0.823 0.500
4 Sr 0.823 0.323 0.500
5 Pt 0.123 0.377 0.000
6 Pt 0.623 0.123 0.000
7 Pt 0.877 0.623 0.000
8 Pt 0.377 0.877 0.000
9 Te 0.500 0.500 0.000
10 Te 0.000 0.000 0.000

Which structure is most stable? entry a, by 42 meV/atom over the runner-up.

Entry a
VASP calculation (PBE) on a relaxed Sr2TlTePt crystal.

Lattice parameters (Å, degrees): 5.859 5.859 5.184 90.00 90.00 90.00
Atoms (fractional coordinates):
1 Pt 0.000 0.000 0.000
2 Te 0.500 0.500 0.500
3 Sr 0.500 0.000 0.000
4 Sr 0.000 0.500 0.000
5 Tl 0.000 0.000 0.500

Entry b
VASP calculation (PBE) on a relaxed Sr2TlTePt crystal.

Lattice parameters (Å, degrees): 5.805 5.400 5.805 90.00 90.00 90.00
Atoms (fractional coordinates):
1 Sr 0.000 0.000 0.500
2 Sr 0.500 0.000 0.000
3 Tl 0.500 0.500 0.500
4 Te 0.000 0.500 0.000
5 Pt 0.000 0.000 0.000

Which structure is most stable? entry a, by 250 meV/atom over the runner-up.

Entry a
VASP calculation (PBE) on a relaxed SrThPt2 crystal.

Lattice parameters (Å, degrees): 4.189 4.189 7.676 74.16 74.16 60.00
Atoms (fractional coordinates):
1 Th 0.000 0.000 0.000
2 Pt 0.260 0.260 0.221
3 Pt 0.740 0.740 0.779
4 Sr 0.500 0.500 0.500

Entry b
VASP calculation (PBE) on a relaxed SrThPt2 crystal.

Lattice parameters (Å, degrees): 3.688 3.688 7.480 90.00 90.00 90.00
Atoms (fractional coordinates):
1 Sr 0.500 0.500 0.500
2 Pt 0.000 0.000 0.796
3 Pt 0.000 0.000 0.204
4 Th 0.500 0.500 0.000

Which structure is most stable? entry a, by 15 meV/atom over the runner-up.

Entry a
VASP calculation (PBE) on a relaxed SrTi2Pt crystal.

Lattice parameters (Å, degrees): 4.745 4.745 4.745 60.00 60.00 60.00
Atoms (fractional coordinates):
1 Pt 0.500 0.500 0.500
2 Sr 0.000 0.000 0.000
3 Ti 0.250 0.250 0.250
4 Ti 0.750 0.750 0.750

Entry b
VASP calculation (PBE) on a relaxed SrTi2Pt crystal.

Lattice parameters (Å, degrees): 4.780 4.780 9.905 76.04 76.04 90.00
Atoms (fractional coordinates):
1 Ti 0.875 0.125 0.250
2 Ti 0.375 0.125 0.750
3 Ti 0.875 0.125 0.750
4 Ti 0.875 0.625 0.250
5 Sr 0.500 0.500 0.000
6 Sr 0.250 0.750 0.500
7 Pt 0.000 0.000 0.000
8 Pt 0.750 0.250 0.500

Which structure is most stable? entry a, by 85 meV/atom over the runner-up.